(1)
Below is a relaxed Pr15Dy4Tm crystal, with properties calculated at the PBE level.

Unit cell a=5.196 b=5.196 c=25.854 alpha=90.00 beta=90.00 gamma=90.00
Element x y z (fractional)
Pr (0.000, 0.000, 0.000)
Pr (0.000, 0.000, 0.200)
Pr (0.000, 0.000, 0.400)
Pr (0.000, 0.000, 0.600)
Pr (0.000, 0.000, 0.800)
Pr (0.000, 0.500, 0.099)
Pr (0.000, 0.500, 0.300)
Pr (0.000, 0.500, 0.500)
Pr (0.000, 0.500, 0.700)
Pr (0.000, 0.500, 0.901)
Pr (0.500, 0.000, 0.099)
Pr (0.500, 0.000, 0.300)
Pr (0.500, 0.000, 0.500)
Pr (0.500, 0.000, 0.700)
Pr (0.500, 0.000, 0.901)
Dy (0.500, 0.500, 0.200)
Dy (0.500, 0.500, 0.400)
Dy (0.500, 0.500, 0.600)
Dy (0.500, 0.500, 0.800)
Tm (0.500, 0.500, 0.000)

Output
The total magnetization comes out at 0.000 μB/f.u. The volume is 34.90 Å³ per atom. The calculation puts the formation energy at 10 meV/atom. Its total DFT energy (no corrections) is -4.719 eV per atom.


(2)
Below is a relaxed Pr4DyTm7 crystal, with properties calculated at the PBE level.

Unit cell a=6.724 b=6.724 c=12.808 alpha=115.00 beta=115.00 gamma=51.86
Element x y z (fractional)
Pr (0.140, 0.140, 0.278)
Pr (0.284, 0.284, 0.839)
Pr (0.716, 0.716, 0.161)
Pr (0.860, 0.860, 0.722)
Dy (0.500, 0.500, 0.500)
Tm (0.000, 0.000, 0.500)
Tm (0.132, 0.132, 0.993)
Tm (0.288, 0.288, 0.576)
Tm (0.429, 0.429, 0.193)
Tm (0.571, 0.571, 0.807)
Tm (0.712, 0.712, 0.424)
Tm (0.868, 0.868, 0.007)

Output
The total magnetization comes out at 0.003 μB/f.u. The volume is 33.50 Å³ per atom. The calculation puts the formation energy at 269 meV/atom. Its total DFT energy (no corrections) is -4.316 eV per atom.


(3)
Below is a relaxed Pr2Dy6Tm3 crystal, with properties calculated at the PBE level.

Unit cell a=16.976 b=16.976 c=16.976 alpha=163.99 beta=163.99 gamma=22.71
Element x y z (fractional)
Pr (0.046, 0.046, 0.000)
Pr (0.954, 0.954, 0.000)
Dy (0.123, 0.623, 0.500)
Dy (0.197, 0.197, 0.000)
Dy (0.377, 0.877, 0.500)
Dy (0.623, 0.123, 0.500)
Dy (0.803, 0.803, 0.000)
Dy (0.877, 0.377, 0.500)
Tm (0.299, 0.299, 0.000)
Tm (0.500, 0.500, 0.000)
Tm (0.701, 0.701, 0.000)

Output
The total magnetization comes out at 0.001 μB/f.u. The volume is 33.82 Å³ per atom. The calculation puts the formation energy at 276 meV/atom. Its total DFT energy (no corrections) is -4.323 eV per atom.


- volume of number 1 (Pr15Dy4Tm)?
  34.90 Å³ per atom